Density functional theory data (PBE with a Hubbard U) for a geometry-optimized LiMnF3 structure.

Its total energy is -28.524 eV/f.u. The volume comes out at 16.620 A^3/atom. Its crystal system is trigonal.

The structure belongs to space group R-3 (No. 148, hexagonal axes); the cell edges are 14.8204, 14.8204 and 7.8636 Å and the angles 90.00°, 90.00° and 120.00°. The distinct sites, in fractional coordinates, are Li at (0.0176, 0.8389, 0.3959), Mn at (0.0497, 0.7821, 0.7511), F at (0.0104, 0.5913, 0.1683), F at (0.0252, 0.1519, 0.3707) and F at (0.0706, 0.2567, 0.7818).